Crystalline UCrF5 at its relaxed geometry. Source: the Alexandria database, functional PBE+U.

Cell: 5.962 5.962 7.769 Å, 71.83 71.83 77.19°
Sites, in units of the cell vectors:
U: 0.555 0.445 0.750
U: 0.445 0.555 0.250
Cr: 0.000 0.000 0.000
Cr: 0.000 0.000 0.500
F: 0.271 0.201 0.872
F: 0.346 0.696 0.532
F: 0.201 0.271 0.372
F: 0.885 0.115 0.750
F: 0.304 0.654 0.968
F: 0.696 0.346 0.032
F: 0.115 0.885 0.250
F: 0.799 0.729 0.628
F: 0.654 0.304 0.468
F: 0.729 0.799 0.128

## Properties
symmetry	C2/c (15)
E_tot	-98.42	eV for the cell shown
volume	123.47	Å³/f.u.